# GGA-PBE RbBaZnS2, relaxed
data_RbBaZnS2
_space_group_name_H-M_alt 'P 1 2/c 1'
_space_group_IT_number 13
_cell_length_a 7.605
_cell_length_b 5.135
_cell_length_c 8.674
_cell_angle_alpha 90.00
_cell_angle_beta 102.34
_cell_angle_gamma 90.00
loop_
_space_group_symop_operation_xyz
'x,y,z'
'-x,-y,-z'
'-x,y,-z+1/2'
'x,-y,z+1/2'
loop_
_atom_site_label
_atom_site_type_symbol
_atom_site_fract_x
_atom_site_fract_y
_atom_site_fract_z
Rb1 Rb 0.000 0.028 0.250
Ba1 Ba 0.500 0.284 0.750
Zn1 Zn 0.000 0.500 0.000
S1 S 0.279 0.268 0.038
# Formation energy from raw total energies = -90 kJ per mole of atoms
# Uncorrected energy = -3.416 eV per atom
# M_tot = 0.000 μB/f.u.